! PBE Fe3ReB, relaxed; values from VASP
! Density of states at the Fermi level   6.6 states/eV per cell
! SG   Pm-3m (221)
! Total moment   2.03 μB per formula unit
! Energy of formation   226 meV/atom
! Energy above the lowest structure with this stoichiometry   0 kJ/mol of formula units
! Electronic total energy   -43.382 eV per formula unit
! Density   11.3 g/cm3
&SYSTEM
  ibrav = 0, nat = 5, ntyp = 3
/
ATOMIC_SPECIES
Fe 55.84 Fe.upf
Re 186.21 Re.upf
B 10.81 B.upf
CELL_PARAMETERS angstrom
3.7727 0.0000 0.0000
0.0000 3.7727 0.0000
0.0000 0.0000 3.7727
ATOMIC_POSITIONS crystal
Fe 0.0000 0.0000 0.5000
Fe 0.0000 0.5000 0.0000
Fe 0.5000 0.0000 0.0000
Re 0.5000 0.5000 0.5000
B 0.0000 0.0000 0.0000